1.
Here is CeNd2HoSe4 after structural relaxation from Alexandria via LeMat-Bulk. Energies are from PBE.

abc: 4.1460 7.2715 7.2503
angles: 109.03 90.00 90.00
Closest atoms and distances in Å follow each position.
Positions (direct):
Ce  0.5000  0.5000  0.0000  6 Se 2.95
Nd  0.5000  0.0000  0.5000  6 Se 2.97
Nd  0.0000  0.5000  0.5000  6 Se 3.02
Ho  0.0000  0.0000  0.0000  6 Se 2.89
Se  0.5000  0.2401  0.2380  2 Ho 2.89, 1 Ce 2.95, 3 Nd 2.97-3.02
Se  0.5000  0.7599  0.7620  2 Ho 2.89, 1 Ce 2.95, 3 Nd 2.97-3.02
Se  0.0000  0.2463  0.7573  1 Ho 2.89, 2 Ce 2.95, 3 Nd 2.97-3.02
Se  0.0000  0.7537  0.2427  1 Ho 2.89, 2 Ce 2.95, 3 Nd 2.97-3.02

Properties
Uncorrected formation energy = -1.8087 eV/atom

***

2.
Here is La6Rh2Br3Cl after structural relaxation from Alexandria via LeMat-Bulk. Energies are from PBE.

abc: 7.3774 7.3774 8.0377
angles: 98.84 98.84 119.78
Closest atoms and distances in Å follow each position.
Positions (direct):
La  0.9294  0.5723  0.7916  2 Rh 2.86, 1 Cl 3.08
La  0.7108  0.7108  0.2039  2 Rh 2.85, 1 Cl 3.07
La  0.0706  0.4277  0.2084  2 Rh 2.86, 1 Cl 3.08
La  0.5723  0.9294  0.7916  2 Rh 2.86, 1 Cl 3.08
La  0.2892  0.2892  0.7961  2 Rh 2.85, 1 Cl 3.07
La  0.4277  0.0706  0.2084  2 Rh 2.86, 1 Cl 3.08
Rh  0.3324  0.6676  0.0000  6 La 2.85-2.86
Rh  0.6676  0.3324  0.0000  6 La 2.85-2.86
Br  0.1585  0.8415  0.5000  6 La 3.26-3.41
Br  0.8415  0.1585  0.5000  6 La 3.26-3.41
Br  0.5000  0.5000  0.5000  6 La 3.22-3.39
Cl  0.0000  0.0000  0.0000  6 La 3.07-3.08

Properties
Uncorrected formation energy = -1.2424 eV/atom

***

3.
Here is Tc2Sb after structural relaxation from Alexandria via LeMat-Bulk. Energies are from PBE.

abc: 4.3311 4.3311 3.2934
angles: 90.00 90.00 120.00
Closest atoms and distances in Å follow each position.
Positions (direct):
Sb  0.0000  0.0000  0.0000  12 Tc 2.99, 2 Sb 3.29
Tc  0.3333  0.6667  0.4999  3 Tc 2.50
Tc  0.6667  0.3333  0.5001  3 Tc 2.50

Properties
Uncorrected formation energy = 0.4880 eV/atom
E above lowest polymorph = 0.382 eV/atom

***

4.
Here is Th2CdCu after structural relaxation from Alexandria via LeMat-Bulk. Energies are from PBE.

abc: 5.2676 5.2676 5.2676
angles: 60.00 60.00 60.00
Closest atoms and distances in Å follow each position.
Positions (direct):
Cu  0.0000  0.0000  0.0000  8 Th 3.23
Th  0.2500  0.2500  0.2500  4 Cd 3.23, 4 Cu 3.23
Th  0.7500  0.7500  0.7500  4 Cd 3.23, 4 Cu 3.23
Cd  0.5000  0.5000  0.5000  8 Th 3.23

Properties
E above lowest polymorph = 0.087 eV/atom
ΔH_f (0 K) = 0.0123 eV/atom

***

5.
Here is Ce6Sb after structural relaxation from Alexandria via LeMat-Bulk. Energies are from PBE.

abc: 6.5670 6.5670 6.5670
angles: 109.47 109.47 109.47
Closest atoms and distances in Å follow each position.
Positions (direct):
Ce  0.2500  0.7500  0.5000  4 Ce 2.68
Ce  0.5000  0.7500  0.2500  4 Ce 2.68
Ce  0.2500  0.5000  0.7500  4 Ce 2.68
Ce  0.7500  0.2500  0.5000  4 Ce 2.68
Ce  0.5000  0.2500  0.7500  4 Ce 2.68
Ce  0.7500  0.5000  0.2500  4 Ce 2.68
Sb  0.0000  0.0000  0.0000  24 Ce 4.24

Properties
Uncorrected formation energy = 0.7626 eV/atom

***

6.
Here is K2Li2Cu after structural relaxation from Alexandria via LeMat-Bulk. Energies are from PBE.

abc: 7.2811 7.2811 5.9701
angles: 90.00 90.00 90.00
Closest atoms and distances in Å follow each position.
Positions (direct):
K  0.1911  0.6911  0.5000  2 Li 3.37, 4 K 3.74
K  0.6911  0.8089  0.5000  2 Li 3.37, 4 K 3.74
K  0.8089  0.3089  0.5000  2 Li 3.37, 4 K 3.74
K  0.3089  0.1911  0.5000  2 Li 3.37, 4 K 3.74
Cu  0.0000  0.0000  0.0000  4 Li 2.75
Cu  0.5000  0.5000  0.0000  4 Li 2.75
Li  0.3428  0.8428  0.0000  2 Cu 2.75
Li  0.8428  0.6572  0.0000  2 Cu 2.75
Li  0.6572  0.1572  0.0000  2 Cu 2.75
Li  0.1572  0.3428  0.0000  2 Cu 2.75

Properties
ΔH_f (0 K) = 0.2520 eV/atom

***

7.
Here is Rb2BaSnH after structural relaxation from Alexandria via LeMat-Bulk. Energies are from PBE.

abc: 5.5181 5.5181 5.9767
angles: 90.00 90.00 90.00
Closest atoms and distances in Å follow each position.
Positions (direct):
H  0.0000  0.0000  0.0000  4 Rb 2.76, 2 Ba 2.99
Ba  0.0000  0.0000  0.5000  2 H 2.99
Rb  0.0000  0.5000  0.0000  2 H 2.76
Rb  0.5000  0.0000  0.0000  2 H 2.76
Sn  0.5000  0.5000  0.5000  4 Ba 3.90, 8 Rb 4.07

***

8.
Here is Cd3AgW after structural relaxation from Alexandria via LeMat-Bulk. Energies are from PBE.

abc: 5.3791 5.3791 5.3791
angles: 90.00 90.00 90.00
Closest atoms and distances in Å follow each position.
Positions (direct):
Ag  0.5000  0.5000  0.5000  12 Cd 3.80
W  0.0000  0.0000  0.0000  6 Cd 2.69
Cd  0.0000  0.5000  0.0000  2 W 2.69
Cd  0.0000  0.0000  0.5000  2 W 2.69
Cd  0.5000  0.0000  0.0000  2 W 2.69

Properties
E above lowest polymorph = 0.000 eV/atom
ΔH_f (0 K) = 1.3146 eV/atom

***

9.
Here is TiSi3Au after structural relaxation from Alexandria via LeMat-Bulk. Energies are from PBE.

abc: 4.7966 4.7966 4.7966
angles: 90.00 90.00 90.00
Closest atoms and distances in Å follow each position.
Positions (direct):
Si  0.0000  0.5000  0.0000  2 Au 2.40
Si  0.0000  0.0000  0.5000  2 Au 2.40
Si  0.5000  0.0000  0.0000  2 Au 2.40
Au  0.0000  0.0000  0.0000  6 Si 2.40
Ti  0.5000  0.5000  0.5000  12 Si 3.39

Properties
Uncorrected formation energy = 1.1173 eV/atom
E above lowest polymorph = 0.361 eV/atom

***

10.
Here is BeRe2Sb after structural relaxation from Alexandria via LeMat-Bulk. Energies are from PBE.

abc: 4.7887 4.7887 4.7887
angles: 131.35 131.35 71.26
Closest atoms and distances in Å follow each position.
Positions (direct):
Re  0.0000  0.0000  0.0000  4 Re 2.77, 4 Be 2.77, 4 Sb 2.79
Re  0.2500  0.7500  0.5000  4 Re 2.77, 4 Sb 2.77, 4 Be 2.79
Sb  0.5000  0.5000  0.0000  4 Be 2.77, 8 Re 2.77-2.79
Be  0.7500  0.2500  0.5000  8 Re 2.77-2.79, 4 Sb 2.77

Properties
Uncorrected formation energy = 0.5526 eV/atom
E above lowest polymorph = 0.377 eV/atom

***

11.
Here is SmAg9Pb2 after structural relaxation from Alexandria via LeMat-Bulk. Energies are from PBE.

abc: 5.6656 5.6656 9.8546
angles: 73.29 73.29 60.00
Closest atoms and distances in Å follow each position.
Positions (direct):
Sm  0.0000  0.0000  0.0000  18 Ag 3.27-3.66
Ag  0.6664  0.6664  0.0009  6 Ag 2.84
Ag  0.3336  0.3336  0.9991  6 Ag 2.84
Ag  0.5000  0.5000  0.5000  6 Ag 2.85
Ag  0.4157  0.4157  0.2494  7 Ag 2.81-2.85
Ag  0.9192  0.4157  0.2494  7 Ag 2.81-2.85
Ag  0.4157  0.9192  0.2494  7 Ag 2.81-2.85
Ag  0.5843  0.5843  0.7506  7 Ag 2.81-2.85
Ag  0.5843  0.0808  0.7506  7 Ag 2.81-2.85
Ag  0.0808  0.5843  0.7506  7 Ag 2.81-2.85
Pb  0.8573  0.8573  0.4281  12 Ag 3.28-3.41, 3 Pb 3.53
Pb  0.1427  0.1427  0.5719  12 Ag 3.28-3.41, 3 Pb 3.53

Properties
ΔH_f (0 K) = -0.0353 eV/atom

***

12.
Here is K2TlCl after structural relaxation from Alexandria via LeMat-Bulk. Energies are from PBE.

abc: 10.2189 10.2189 10.2189
angles: 158.55 157.21 31.49
Closest atoms and distances in Å follow each position.
Positions (direct):
Tl  0.4423  0.4423  0.0000  4 Tl 3.80-4.04, 6 K 3.80-3.83
K  0.0768  0.0768  0.0000  2 Cl 3.12
K  0.7783  0.2783  0.5000  4 Cl 3.15
Cl  0.2026  0.7026  0.5000  6 K 3.12-3.15

Properties
Uncorrected formation energy = -0.8700 eV/atom
E above lowest polymorph = 0.030 eV/atom

***

Quick rundown of E_tot, same order as above: -6.06 -5.50 -7.80 -4.95 -4.91 -1.77 -2.43 -2.40 -4.37 -7.63 -3.19 -2.47 eV per atom